No. 1
Density functional theory data (PBE-GGA) for an optimized crystal structure of PrDy2Hg3.

Total moment   1.5 μB per cell
Formation energy   -0.473 eV per atom
Excess energy over the best structure of this formula in the dataset   3 meV/atom
N(E_F)   13.0 states/eV/cell

Unit cell a=8.3826 b=8.3826 c=7.6462 alpha=90.00 beta=90.00 gamma=143.24
Closest atoms and distances in Å follow each position.
Element x y z (fractional)
Pr  0.1658  0.8342  0.0000  8 Hg 3.32-3.40
Pr  0.8342  0.1658  0.0000  8 Hg 3.32-3.40
Dy  0.1692  0.8308  0.5000  8 Hg 3.20-3.24
Dy  0.5000  0.5000  0.0000  8 Hg 3.29-3.33
Dy  0.5000  0.5000  0.5000  8 Hg 3.15-3.20
Dy  0.8308  0.1692  0.5000  8 Hg 3.20-3.24
Hg  0.0000  0.0000  0.2641  6 Dy 3.20-3.33, 2 Pr 3.32
Hg  0.0000  0.0000  0.7359  6 Dy 3.20-3.33, 2 Pr 3.32
Hg  0.3375  0.6625  0.2651  5 Dy 3.15-3.29, 3 Pr 3.33-3.40
Hg  0.3375  0.6625  0.7349  5 Dy 3.15-3.29, 3 Pr 3.33-3.40
Hg  0.6625  0.3375  0.2651  5 Dy 3.15-3.29, 3 Pr 3.33-3.40
Hg  0.6625  0.3375  0.7349  5 Dy 3.15-3.29, 3 Pr 3.33-3.40

---

No. 2
Density functional theory data (PBE-GGA) for an optimized crystal structure of La2PuThSe4.

Uncorrected formation energy   -1.767 eV per atom
Total moment   5.8 μB per cell
N(E_F)   11.6 states/eV/cell

Unit cell a=7.3452 b=4.2251 c=7.3815 alpha=90.00 beta=109.27 gamma=90.00
Closest atoms and distances in Å follow each position.
Element x y z (fractional)
La  0.0000  0.0000  0.0000  6 Se 3.02-3.03
La  0.5000  0.5000  0.0000  6 Se 3.05
Pu  0.0000  0.5000  0.5000  6 Se 2.95
Th  0.5000  0.0000  0.5000  6 Se 2.98
Se  0.2433  0.0000  0.7392  2 Pu 2.95, 1 Th 2.98, 3 La 3.03-3.05
Se  0.2495  0.5000  0.2579  1 Pu 2.95, 2 Th 2.98, 3 La 3.02-3.05
Se  0.7505  0.5000  0.7421  1 Pu 2.95, 2 Th 2.98, 3 La 3.02-3.05
Se  0.7567  0.0000  0.2608  2 Pu 2.95, 1 Th 2.98, 3 La 3.03-3.05

---

No. 3
Density functional theory data (PBE-GGA) for an optimized crystal structure of KNi2Cl.

Uncorrected formation energy   0.203 eV per atom
Total moment   0.4 μB per cell
Excess energy over the best structure of this formula in the dataset   229 meV/atom
N(E_F)   3.0 states/eV/cell

Unit cell a=4.6836 b=3.9207 c=5.0593 alpha=90.00 beta=90.41 gamma=90.00
Closest atoms and distances in Å follow each position.
Element x y z (fractional)
K  0.0000  0.0000  0.0000  8 Ni 3.40, 4 Cl 3.43-3.46
Ni  0.2457  0.5000  0.5011  2 Cl 2.29, 2 Ni 2.30-2.38
Ni  0.7543  0.5000  0.4989  2 Cl 2.29, 2 Ni 2.30-2.38
Cl  0.5000  0.0000  0.5000  4 Ni 2.29

---

No. 4
Density functional theory data (PBE-GGA) for an optimized crystal structure of Y5TmCu6.

Total moment   0.0 μB per cell
Formation energy   -0.253 eV per atom
N(E_F)   5.8 states/eV/cell

Unit cell a=4.9241 b=6.9000 c=7.7907 alpha=90.00 beta=108.33 gamma=90.00
Closest atoms and distances in Å follow each position.
Element x y z (fractional)
Y  0.0000  0.0000  0.0000  8 Cu 2.99-3.03
Y  0.3323  0.0000  0.6655  8 Cu 3.01-3.04
Y  0.3334  0.5000  0.6678  8 Cu 2.98-3.03
Y  0.6666  0.5000  0.3322  8 Cu 2.98-3.03
Y  0.6677  0.0000  0.3345  8 Cu 3.01-3.04
Tm  0.0000  0.5000  0.0000  8 Cu 2.98
Cu  0.1662  0.2520  0.3291  1 Tm 2.98, 7 Y 2.99-3.03
Cu  0.1662  0.7480  0.3291  1 Tm 2.98, 7 Y 2.99-3.03
Cu  0.5000  0.2558  0.0000  6 Y 2.98-3.04, 2 Tm 2.98
Cu  0.5000  0.7442  0.0000  6 Y 2.98-3.04, 2 Tm 2.98
Cu  0.8338  0.2520  0.6709  1 Tm 2.98, 7 Y 2.99-3.03
Cu  0.8338  0.7480  0.6709  1 Tm 2.98, 7 Y 2.99-3.03

---

No. 5
Density functional theory data (PBE-GGA) for an optimized crystal structure of RbTiSn2Pt.

Total moment   2.1 μB per cell
Formation energy   0.205 eV per atom
N(E_F)   3.3 states/eV/cell

Unit cell a=5.3379 b=5.3379 c=5.2448 alpha=90.00 beta=90.00 gamma=90.00
Closest atoms and distances in Å follow each position.
Element x y z (fractional)
Rb  0.0000  0.0000  0.0000  8 Sn 3.74, 4 Ti 3.77
Ti  0.5000  0.5000  0.0000  2 Pt 2.62
Sn  0.0000  0.5000  0.5000  2 Pt 2.67
Sn  0.5000  0.0000  0.5000  2 Pt 2.67
Pt  0.5000  0.5000  0.5000  2 Ti 2.62, 4 Sn 2.67

---

No. 6
Density functional theory data (PBE-GGA) for an optimized crystal structure of Nb2RuPt2.

Total moment   0.0 μB per cell
Formation energy   0.072 eV per atom
Excess energy over the best structure of this formula in the dataset   427 meV/atom
N(E_F)   4.3 states/eV/cell

Unit cell a=4.4299 b=4.4299 c=5.2208 alpha=90.29 beta=90.29 gamma=116.71
Closest atoms and distances in Å follow each position.
Element x y z (fractional)
Nb  0.0175  0.0175  0.2554  2 Nb 2.56-2.67, 2 Ru 2.62-2.74, 2 Pt 2.80
Nb  0.9825  0.9825  0.7446  2 Nb 2.56-2.67, 2 Ru 2.62-2.74, 2 Pt 2.80
Ru  0.5000  0.5000  0.0000  4 Nb 2.62-2.74, 4 Pt 2.91
Pt  0.3301  0.6699  0.5000  3 Pt 2.56-2.62, 2 Nb 2.80
Pt  0.6699  0.3301  0.5000  3 Pt 2.56-2.62, 2 Nb 2.80